(1)
This record from Alexandria describes a geometry-optimized HfMg2Hg structure. The functional is GGA-PBE.

Cell: 4.5254 4.2928 4.2928 Å, 90.00 90.00 90.00°
With the nearest neighbours (Å) after each atom.
Fractional positions:
Mg (0.0000, 0.0000, 0.5000)  4 Mg 3.04, 4 Hg 3.12, 4 Hf 3.12
Mg (0.0000, 0.5000, 0.0000)  4 Mg 3.04, 4 Hg 3.12, 4 Hf 3.12
Hf (0.5000, 0.0000, 0.0000)  4 Hg 3.04, 8 Mg 3.12
Hg (0.5000, 0.5000, 0.5000)  4 Hf 3.04, 8 Mg 3.12

Output
Energy of formation ... -11 kJ/mol of formula units
SG ... P4/mmm
Calculated total energy ... -13.56 eV/cell

(2)
This record from Alexandria describes a geometry-optimized NaScTc2P structure. The functional is GGA-PBE.

Cell: 4.5522 4.5090 4.5522 Å, 90.00 90.00 90.00°
With the nearest neighbours (Å) after each atom.
Fractional positions:
Sc (0.5000, 0.5000, 0.5000)  8 Tc 3.20, 4 P 3.22
P (0.0000, 0.5000, 0.0000)  2 Na 2.25
Tc (0.0000, 0.0000, 0.5000)  2 Na 2.28
Tc (0.5000, 0.0000, 0.0000)  2 Na 2.28
Na (0.0000, 0.0000, 0.0000)  2 P 2.25, 4 Tc 2.28

Output
Energy of formation ... 809 kJ/mol of formula units
SG ... P4/mmm
Calculated total energy ... -25.41 eV/cell